! Mg2GaSnSe SCAN PBEsol geometry; values from VASP
! Electronic total energy ... -16.085 eV per atom
! Fermi-level density of states ... 0.435 states/eV per atom
! Crystal system ... tetragonal
! Space-group type ... P4/mmm
! Raw formation energy ... 0.373 eV/atom
&SYSTEM
  ibrav = 0, nat = 5, ntyp = 4
/
ATOMIC_SPECIES
Mg 24.30 Mg.upf
Ga 69.72 Ga.upf
Sn 118.71 Sn.upf
Se 78.96 Se.upf
CELL_PARAMETERS angstrom
-5.0809 1.0867 -0.7598
-0.7374 -4.8164 -1.9575
-1.1818 -1.9167 5.1614
ATOMIC_POSITIONS crystal
Mg 0.0000 0.5000 0.0000
Mg 0.5000 0.0000 0.0000
Ga 0.5000 0.5000 0.5000
Sn 0.0000 0.0000 0.0000
Se 0.0000 0.0000 0.5000


! SmMgGa SCAN PBEsol geometry; values from VASP
! Electronic total energy ... -22.492 eV per atom
! Fermi-level density of states ... 0.130 states/eV per atom
! Crystal system ... hexagonal
! Space-group type ... P-62m
! Formation enthalpy at 0 K ... -1.71 eV per formula unit
&SYSTEM
  ibrav = 0, nat = 9, ntyp = 3
/
ATOMIC_SPECIES
Sm 150.36 Sm.upf
Mg 24.30 Mg.upf
Ga 69.72 Ga.upf
CELL_PARAMETERS angstrom
-3.9084 1.6961 1.2475
-3.2685 -6.3252 -1.6405
2.6307 1.1164 6.7243
ATOMIC_POSITIONS crystal
Sm 0.0000 0.0000 0.5760
Sm 0.0000 0.5760 0.0000
Sm 0.0000 0.4240 0.4240
Mg 0.5000 0.0000 0.2436
Mg 0.5000 0.2436 0.0000
Mg 0.5000 0.7564 0.7564
Ga 0.5000 0.6667 0.3333
Ga 0.5000 0.3333 0.6667
Ga 0.0000 0.0000 0.0000


! MgGaSn2 SCAN PBEsol geometry; values from VASP
! Electronic total energy ... -23.256 eV per atom
! Fermi-level density of states ... 0.515 states/eV per atom
! Crystal system ... tetragonal
! Space-group type ... I-42d
! Excess energy over the best structure of this formula in the dataset ... 0.0000 eV/atom
! Formation enthalpy at 0 K ... 0.14 eV per formula unit
&SYSTEM
  ibrav = 0, nat = 8, ntyp = 3
/
ATOMIC_SPECIES
Mg 24.30 Mg.upf
Sn 118.71 Sn.upf
Ga 69.72 Ga.upf
CELL_PARAMETERS angstrom
-4.7569 -3.1558 1.7848
-2.5997 -4.1029 -4.1619
1.0419 -5.6638 2.7838
ATOMIC_POSITIONS crystal
Mg 0.2500 0.5000 0.5000
Mg 0.5000 0.0000 0.0000
Sn 0.0866 0.0384 0.5384
Sn 0.6634 0.9616 0.4616
Sn 0.3750 0.5384 0.9616
Sn 0.8750 0.4616 0.0384
Ga 0.7500 0.5000 0.5000
Ga 0.0000 0.0000 0.0000


! Mg2Ga2Sn SCAN PBEsol geometry; values from VASP
! Electronic total energy ... -15.701 eV per atom
! Fermi-level density of states ... 0.367 states/eV per atom
! Crystal system ... tetragonal
! Space-group type ... I4/mmm
! Excess energy over the best structure of this formula in the dataset ... 0.1329 eV/atom
! Formation enthalpy at 0 K ... 0.06 eV per formula unit
&SYSTEM
  ibrav = 0, nat = 5, ntyp = 3
/
ATOMIC_SPECIES
Mg 24.30 Mg.upf
Sn 118.71 Sn.upf
Ga 69.72 Ga.upf
CELL_PARAMETERS angstrom
-0.0291 -4.2983 -0.0715
4.1972 -0.0439 0.9292
-3.3478 2.0847 5.2756
ATOMIC_POSITIONS crystal
Mg 0.2500 0.7500 0.5000
Mg 0.7500 0.2500 0.5000
Sn 0.0000 0.0000 0.0000
Ga 0.3980 0.3980 0.7959
Ga 0.6020 0.6020 0.2041


! MgGaSn2 SCAN PBEsol geometry; values from VASP
! Electronic total energy ... -23.210 eV per atom
! Fermi-level density of states ... 0.468 states/eV per atom
! Crystal system ... cubic
! Space-group type ... Fm-3m
! Excess energy over the best structure of this formula in the dataset ... 0.0459 eV/atom
! Formation enthalpy at 0 K ... 0.32 eV per formula unit
&SYSTEM
  ibrav = 0, nat = 4, ntyp = 3
/
ATOMIC_SPECIES
Mg 24.30 Mg.upf
Sn 118.71 Sn.upf
Ga 69.72 Ga.upf
CELL_PARAMETERS angstrom
5.0606 0.0000 0.0000
2.5303 4.3826 0.0000
2.5303 1.4609 4.1319
ATOMIC_POSITIONS crystal
Mg 0.0000 0.0000 0.0000
Sn 0.2500 0.2500 0.2500
Sn 0.7500 0.7500 0.7500
Ga 0.5000 0.5000 0.5000


! MgGa2Sn2 SCAN PBEsol geometry; values from VASP
! Electronic total energy ... -21.869 eV per atom
! Fermi-level density of states ... 0.422 states/eV per atom
! Crystal system ... tetragonal
! Space-group type ... P4/mbm
! Formation enthalpy at 0 K ... 0.17 eV per formula unit
&SYSTEM
  ibrav = 0, nat = 10, ntyp = 3
/
ATOMIC_SPECIES
Mg 24.30 Mg.upf
Sn 118.71 Sn.upf
Ga 69.72 Ga.upf
CELL_PARAMETERS angstrom
-3.0616 1.3793 -2.3132
-4.6655 -4.4744 3.5069
-1.3521 5.2798 4.9377
ATOMIC_POSITIONS crystal
Mg 0.0000 0.0000 0.0000
Mg 0.0000 0.5000 0.5000
Sn 0.5000 0.1782 0.6782
Sn 0.5000 0.6782 0.8218
Sn 0.5000 0.8218 0.3218
Sn 0.5000 0.3218 0.1782
Ga 0.0000 0.3748 0.8748
Ga 0.0000 0.8748 0.6252
Ga 0.0000 0.6252 0.1252
Ga 0.0000 0.1252 0.3748


! Mg2Ga2Sn SCAN PBEsol geometry; values from VASP
! Electronic total energy ... -15.834 eV per atom
! Fermi-level density of states ... 0.284 states/eV per atom
! Crystal system ... tetragonal
! Space-group type ... P4/mbm
! Excess energy over the best structure of this formula in the dataset ... 0.0000 eV/atom
! Formation enthalpy at 0 K ... -0.61 eV per formula unit
&SYSTEM
  ibrav = 0, nat = 10, ntyp = 3
/
ATOMIC_SPECIES
Mg 24.30 Mg.upf
Sn 118.71 Sn.upf
Ga 69.72 Ga.upf
CELL_PARAMETERS angstrom
-1.7261 0.6173 -2.5854
3.3295 -6.2589 -3.7173
-5.8298 -4.7405 2.7602
ATOMIC_POSITIONS crystal
Mg 0.5000 0.1808 0.6808
Mg 0.5000 0.6808 0.8192
Mg 0.5000 0.8192 0.3192
Mg 0.5000 0.3192 0.1808
Sn 0.0000 0.0000 0.0000
Sn 0.0000 0.5000 0.5000
Ga 0.0000 0.3830 0.8830
Ga 0.0000 0.8830 0.6170
Ga 0.0000 0.6170 0.1170
Ga 0.0000 0.1170 0.3830


! Mg2GaSn2 SCAN PBEsol geometry; values from VASP
! Electronic total energy ... -19.643 eV per atom
! Fermi-level density of states ... 0.368 states/eV per atom
! Crystal system ... tetragonal
! Space-group type ... P4/mbm
! Formation enthalpy at 0 K ... -0.08 eV per formula unit
&SYSTEM
  ibrav = 0, nat = 10, ntyp = 3
/
ATOMIC_SPECIES
Mg 24.30 Mg.upf
Sn 118.71 Sn.upf
Ga 69.72 Ga.upf
CELL_PARAMETERS angstrom
-0.9503 -2.8624 0.8824
8.0602 -1.9099 2.4847
-1.7270 3.0146 7.9195
ATOMIC_POSITIONS crystal
Mg 0.5000 0.1346 0.6346
Mg 0.5000 0.6346 0.8654
Mg 0.5000 0.8654 0.3654
Mg 0.5000 0.3654 0.1346
Sn 0.0000 0.3366 0.8366
Sn 0.0000 0.8366 0.6634
Sn 0.0000 0.6634 0.1634
Sn 0.0000 0.1634 0.3366
Ga 0.0000 0.0000 0.0000
Ga 0.0000 0.5000 0.5000


! MgGa2Tc2 SCAN PBEsol geometry; values from VASP
! Electronic total energy ... -21.756 eV per atom
! Fermi-level density of states ... 0.091 states/eV per atom
! Crystal system ... tetragonal
! Space-group type ... P4/mbm
! Formation enthalpy at 0 K ... -0.99 eV per formula unit
&SYSTEM
  ibrav = 0, nat = 10, ntyp = 3
/
ATOMIC_SPECIES
Mg 24.30 Mg.upf
Tc 98.00 Tc.upf
Ga 69.72 Ga.upf
CELL_PARAMETERS angstrom
3.3330 0.0000 0.0000
0.0000 6.6529 0.0000
0.0000 0.0000 6.6529
ATOMIC_POSITIONS crystal
Mg 0.0000 0.0000 0.0000
Mg 0.0000 0.5000 0.5000
Tc 0.5000 0.1668 0.6668
Tc 0.5000 0.6668 0.8332
Tc 0.5000 0.8332 0.3332
Tc 0.5000 0.3332 0.1668
Ga 0.0000 0.3683 0.8683
Ga 0.0000 0.8683 0.6317
Ga 0.0000 0.6317 0.1317
Ga 0.0000 0.1317 0.3683


! MgGaTe3 SCAN PBEsol geometry; values from VASP
! Electronic total energy ... -26.404 eV per atom
! Fermi-level density of states ... 1.149 states/eV per atom
! Crystal system ... cubic
! Space-group type ... Pm-3m
! Raw formation energy ... 0.210 eV/atom
&SYSTEM
  ibrav = 0, nat = 5, ntyp = 3
/
ATOMIC_SPECIES
Mg 24.30 Mg.upf
Te 127.60 Te.upf
Ga 69.72 Ga.upf
CELL_PARAMETERS angstrom
-0.1901 -3.9493 3.6990
5.4110 -0.1224 0.1474
-0.0239 3.7018 3.9512
ATOMIC_POSITIONS crystal
Mg 0.0000 0.0000 0.0000
Te 0.0000 0.5000 0.0000
Te 0.0000 0.0000 0.5000
Te 0.5000 0.0000 0.0000
Ga 0.5000 0.5000 0.5000


! MgTi3Ga SCAN PBEsol geometry; values from VASP
! Electronic total energy ... -12.724 eV per atom
! Fermi-level density of states ... 1.056 states/eV per atom
! Crystal system ... cubic
! Space-group type ... Pm-3m
! Formation enthalpy at 0 K ... 5.79 eV per formula unit
&SYSTEM
  ibrav = 0, nat = 5, ntyp = 3
/
ATOMIC_SPECIES
Mg 24.30 Mg.upf
Ga 69.72 Ga.upf
Ti 47.87 Ti.upf
CELL_PARAMETERS angstrom
4.6569 0.0000 0.0000
0.0000 4.6569 0.0000
0.0000 0.0000 4.6569
ATOMIC_POSITIONS crystal
Mg 0.0000 0.0000 0.0000
Ga 0.5000 0.5000 0.5000
Ti 0.0000 0.5000 0.0000
Ti 0.0000 0.0000 0.5000
Ti 0.5000 0.0000 0.0000


! Mg3TlGa SCAN PBEsol geometry; values from VASP
! Electronic total energy ... -20.405 eV per atom
! Fermi-level density of states ... 0.478 states/eV per atom
! Crystal system ... cubic
! Space-group type ... Pm-3m
! Formation enthalpy at 0 K ... 1.60 eV per formula unit
&SYSTEM
  ibrav = 0, nat = 5, ntyp = 3
/
ATOMIC_SPECIES
Tl 204.38 Tl.upf
Mg 24.30 Mg.upf
Ga 69.72 Ga.upf
CELL_PARAMETERS angstrom
-5.2535 0.0991 0.3608
-0.3411 -3.3568 -4.0442
0.1538 -4.0573 3.3547
ATOMIC_POSITIONS crystal
Tl 0.0000 0.0000 0.0000
Mg 0.0000 0.5000 0.0000
Mg 0.0000 0.0000 0.5000
Mg 0.5000 0.0000 0.0000
Ga 0.5000 0.5000 0.5000


! Mg2TlGa SCAN PBEsol geometry; values from VASP
! Electronic total energy ... -24.799 eV per atom
! Fermi-level density of states ... 0.277 states/eV per atom
! Crystal system ... cubic
! Space-group type ... Fm-3m
! Formation enthalpy at 0 K ... -0.54 eV per formula unit
&SYSTEM
  ibrav = 0, nat = 4, ntyp = 3
/
ATOMIC_SPECIES
Tl 204.38 Tl.upf
Mg 24.30 Mg.upf
Ga 69.72 Ga.upf
CELL_PARAMETERS angstrom
-2.2233 4.1132 -1.5757
-3.8465 -0.2980 -3.0757
-4.5304 1.1232 1.5994
ATOMIC_POSITIONS crystal
Tl 0.5000 0.5000 0.5000
Mg 0.2500 0.2500 0.2500
Mg 0.7500 0.7500 0.7500
Ga 0.0000 0.0000 0.0000


! MgZnGaW2 SCAN PBEsol geometry; values from VASP
! Electronic total energy ... -33.244 eV per atom
! Fermi-level density of states ... 1.144 states/eV per atom
! Crystal system ... tetragonal
! Space-group type ... P4/mmm
! Formation enthalpy at 0 K ... 7.99 eV per formula unit
&SYSTEM
  ibrav = 0, nat = 5, ntyp = 4
/
ATOMIC_SPECIES
Mg 24.30 Mg.upf
Zn 65.41 Zn.upf
Ga 69.72 Ga.upf
W 183.84 W.upf
CELL_PARAMETERS angstrom
4.3492 0.0000 0.0000
0.0000 4.6507 0.0000
0.0000 0.0000 4.6507
ATOMIC_POSITIONS crystal
Mg 0.5000 0.5000 0.5000
Zn 0.0000 0.0000 0.0000
Ga 0.5000 0.0000 0.0000
W 0.0000 0.0000 0.5000
W 0.0000 0.5000 0.0000


! MgZn2Ga2 SCAN PBEsol geometry; values from VASP
! Electronic total energy ... -12.927 eV per atom
! Fermi-level density of states ... 0.287 states/eV per atom
! Crystal system ... tetragonal
! Space-group type ... P4/mbm
! Excess energy over the best structure of this formula in the dataset ... 0.1099 eV/atom
! Formation enthalpy at 0 K ... 0.06 eV per formula unit
&SYSTEM
  ibrav = 0, nat = 10, ntyp = 3
/
ATOMIC_SPECIES
Zn 65.41 Zn.upf
Mg 24.30 Mg.upf
Ga 69.72 Ga.upf
CELL_PARAMETERS angstrom
3.3438 0.0000 0.0000
0.0000 7.2059 0.0000
0.0000 0.0000 7.2059
ATOMIC_POSITIONS crystal
Zn 0.0000 0.3769 0.8769
Zn 0.0000 0.8769 0.6231
Zn 0.0000 0.6231 0.1231
Zn 0.0000 0.1231 0.3769
Mg 0.0000 0.0000 0.0000
Mg 0.0000 0.5000 0.5000
Ga 0.5000 0.1775 0.6775
Ga 0.5000 0.6775 0.8225
Ga 0.5000 0.8225 0.3225
Ga 0.5000 0.3225 0.1775


! MgZn2Ga2 SCAN PBEsol geometry; values from VASP
! Electronic total energy ... -13.037 eV per atom
! Fermi-level density of states ... 0.248 states/eV per atom
! Crystal system ... tetragonal
! Space-group type ... I4/mmm
! Excess energy over the best structure of this formula in the dataset ... 0.0000 eV/atom
! Formation enthalpy at 0 K ... -0.49 eV per formula unit
&SYSTEM
  ibrav = 0, nat = 5, ntyp = 3
/
ATOMIC_SPECIES
Zn 65.41 Zn.upf
Mg 24.30 Mg.upf
Ga 69.72 Ga.upf
CELL_PARAMETERS angstrom
-0.8250 -3.5672 -1.3944
3.2446 -1.4088 1.6845
-4.1460 1.3337 4.5451
ATOMIC_POSITIONS crystal
Zn 0.2500 0.7500 0.5000
Zn 0.7500 0.2500 0.5000
Mg 0.0000 0.0000 0.0000
Ga 0.3931 0.3931 0.7861
Ga 0.6069 0.6069 0.2139


! Mn3Ga SCAN PBEsol geometry; values from VASP
! Electronic total energy ... -17.958 eV per atom
! Fermi-level density of states ... 0.656 states/eV per atom
! Crystal system ... tetragonal
! Space-group type ... I4/mmm
! Formation enthalpy at 0 K ... -0.72 eV per formula unit
&SYSTEM
  ibrav = 0, nat = 4, ntyp = 2
/
ATOMIC_SPECIES
Mn 54.94 Mn.upf
Ga 69.72 Ga.upf
CELL_PARAMETERS angstrom
3.6960 0.0000 0.0000
0.0000 3.6960 0.0000
-1.8480 -1.8480 3.3813
ATOMIC_POSITIONS crystal
Mn 0.5000 0.5000 0.0000
Mn 0.2500 0.7500 0.5000
Mn 0.7500 0.2500 0.5000
Ga 0.0000 0.0000 0.0000


! Mn2NbGaTe SCAN PBEsol geometry; values from VASP
! Electronic total energy ... -23.815 eV per atom
! Fermi-level density of states ... 0.570 states/eV per atom
! Crystal system ... tetragonal
! Space-group type ... P4/mmm
! Raw formation energy ... 0.833 eV/atom
&SYSTEM
  ibrav = 0, nat = 5, ntyp = 4
/
ATOMIC_SPECIES
Mn 54.94 Mn.upf
Nb 92.91 Nb.upf
Te 127.60 Te.upf
Ga 69.72 Ga.upf
CELL_PARAMETERS angstrom
-2.0971 3.4526 2.3232
-2.6284 -3.1159 2.2580
3.4832 -0.3176 3.6163
ATOMIC_POSITIONS crystal
Mn 0.0000 0.5000 0.0000
Mn 0.5000 0.0000 0.0000
Nb 0.0000 0.0000 0.0000
Te 0.5000 0.5000 0.5000
Ga 0.0000 0.0000 0.5000


! MnGaNi2 SCAN PBEsol geometry; values from VASP
! Electronic total energy ... -17.187 eV per atom
! Fermi-level density of states ... 0.384 states/eV per atom
! Crystal system ... tetragonal
! Space-group type ... I4/mmm
! Formation enthalpy at 0 K ... -1.80 eV per formula unit
&SYSTEM
  ibrav = 0, nat = 4, ntyp = 3
/
ATOMIC_SPECIES
Ni 58.69 Ni.upf
Mn 54.94 Mn.upf
Ga 69.72 Ga.upf
CELL_PARAMETERS angstrom
-2.5117 2.5672 0.9906
1.7042 -2.2596 3.1710
2.5851 1.7418 2.0405
ATOMIC_POSITIONS crystal
Ni 0.7500 0.5000 0.7500
Ni 0.2500 0.5000 0.2500
Mn 0.5000 0.0000 0.5000
Ga 0.0000 0.0000 0.0000


! SrMnGaNi2 SCAN PBEsol geometry; values from VASP
! Electronic total energy ... -17.114 eV per atom
! Fermi-level density of states ... 0.543 states/eV per atom
! Crystal system ... tetragonal
! Space-group type ... P4/mmm
! Formation enthalpy at 0 K ... 3.65 eV per formula unit
&SYSTEM
  ibrav = 0, nat = 5, ntyp = 4
/
ATOMIC_SPECIES
Sr 87.62 Sr.upf
Mn 54.94 Mn.upf
Ga 69.72 Ga.upf
Ni 58.69 Ni.upf
CELL_PARAMETERS angstrom
4.4445 0.0000 0.0000
0.0000 4.4445 0.0000
0.0000 0.0000 5.3742
ATOMIC_POSITIONS crystal
Sr 0.0000 0.0000 0.5000
Mn 0.5000 0.5000 0.5000
Ga 0.0000 0.0000 0.0000
Ni 0.0000 0.5000 0.0000
Ni 0.5000 0.0000 0.0000